PBE RbGe3O, optimized geometry; Fermi-level density of states = 0.48 states/eV per atom; relative energy among the computed polymorphs = 0.00 eV per formula unit; ρ = 4.882 Mg/m³; raw formation energy = 0.189 eV per atom; space-group type = No. 221
1.0
-0.220 -3.741 2.953
4.391 -1.309 -1.330
1.853 2.657 3.503
O Rb Ge
1 1 3
Direct
0.000 0.000 0.000 O
0.500 0.500 0.500 Rb
0.500 0.000 0.000 Ge
0.000 0.000 0.500 Ge
0.000 0.500 0.000 Ge

PBE Rb4GeO4, optimized geometry; Fermi-level density of states = 0.00 states/eV per atom; relative energy among the computed polymorphs = 0.30 eV per formula unit; ρ = 4.172 Mg/m³; raw formation energy = -1.558 eV per atom; space-group type = No. 137
1.0
6.213 0.000 0.000
0.000 7.830 0.000
0.000 0.000 7.830
O Ge Rb
8 2 8
Direct
0.331 0.500 0.312 O
0.169 0.000 0.812 O
0.169 0.000 0.188 O
0.331 0.500 0.688 O
0.831 0.812 0.000 O
0.831 0.188 0.000 O
0.669 0.688 0.500 O
0.669 0.312 0.500 O
0.500 0.500 0.500 Ge
0.000 0.000 0.000 Ge
0.876 0.500 0.783 Rb
0.124 0.217 0.500 Rb
0.624 0.000 0.717 Rb
0.124 0.783 0.500 Rb
0.376 0.717 0.000 Rb
0.624 0.000 0.283 Rb
0.376 0.283 0.000 Rb
0.876 0.500 0.217 Rb

Q: ρ of number 1 (RbGe3O)?
A: 4.882 Mg/m³

Please write out number 2 again, unchanged.
PBE Rb4GeO4, optimized geometry; Fermi-level density of states = 0.00 states/eV per atom; relative energy among the computed polymorphs = 0.30 eV per formula unit; ρ = 4.172 Mg/m³; raw formation energy = -1.558 eV per atom; space-group type = No. 137
1.0
6.213 0.000 0.000
0.000 7.830 0.000
0.000 0.000 7.830
O Ge Rb
8 2 8
Direct
0.331 0.500 0.312 O
0.169 0.000 0.812 O
0.169 0.000 0.188 O
0.331 0.500 0.688 O
0.831 0.812 0.000 O
0.831 0.188 0.000 O
0.669 0.688 0.500 O
0.669 0.312 0.500 O
0.500 0.500 0.500 Ge
0.000 0.000 0.000 Ge
0.876 0.500 0.783 Rb
0.124 0.217 0.500 Rb
0.624 0.000 0.717 Rb
0.124 0.783 0.500 Rb
0.376 0.717 0.000 Rb
0.624 0.000 0.283 Rb
0.376 0.283 0.000 Rb
0.876 0.500 0.217 Rb

Q: What is the raw formation energy in the first record?
A: 0.189 eV per atom